# 1
The following is a DFT calculation (PBE) of a relaxed structure of As2PdPb.

Results
The calculation puts the raw total energy at -73.11 eV/cell. The value obtained for the formation energy from the elements is -0.019 eV per atom. The value obtained for the density of states at the Fermi level is 0.223 states/eV per atom. The value obtained for the density is 6.96 g/cm³.

```
data_As2PdPb
_chemical_formula_sum 'As8 Pd4 Pb4'
_cell_length_a 5.968
_cell_length_b 5.968
_cell_length_c 12.420
_cell_angle_alpha 90.00
_cell_angle_beta 90.00
_cell_angle_gamma 90.00
_symmetry_space_group_name_H-M 'I -4 2 d'
_symmetry_Int_Tables_number 122
_symmetry_space_group_name_Hall 'I -4 2bw'
loop_
_atom_site_label
_atom_site_type_symbol
_atom_site_fract_x
_atom_site_fract_y
_atom_site_fract_z
_atom_site_occupancy
As1 As 0.191 0.250 0.125 1
Pd1 Pd 0.000 0.000 0.000 1
Pb1 Pb 0.000 0.000 0.500 1
```

***

# 2
The following is a DFT calculation (PBE) of a relaxed structure of AsPd6Pb2.

Results
The calculation puts the raw total energy at -90.58 eV/cell. The value obtained for the formation energy from the elements is -0.230 eV per atom. The value obtained for the density of states at the Fermi level is 0.431 states/eV per atom. The value obtained for the density is 10.58 g/cm³.

```
data_AsPd6Pb2
_chemical_formula_sum 'As2 Pd12 Pb4'
_cell_length_a 12.641
_cell_length_b 7.355
_cell_length_c 4.014
_cell_angle_alpha 90.00
_cell_angle_beta 108.47
_cell_angle_gamma 90.00
_symmetry_space_group_name_H-M 'C 1 2/m 1'
_symmetry_Int_Tables_number 12
loop_
_symmetry_equiv_pos_as_xyz
'x,y,z'
'-x,-y,-z'
'-x,y,-z'
'x,-y,z'
'x+1/2,y+1/2,z'
'-x+1/2,-y+1/2,-z'
'-x+1/2,y+1/2,-z'
'x+1/2,-y+1/2,z'
loop_
_atom_site_label
_atom_site_type_symbol
_atom_site_fract_x
_atom_site_fract_y
_atom_site_fract_z
_atom_site_occupancy
As1 As 0.000 0.000 0.000 1
Pd1 Pd 0.000 0.200 0.500 1
Pd2 Pd 0.165 0.222 0.165 1
Pb1 Pb 0.147 0.500 0.649 1
```

***

# 3
The following is a DFT calculation (PBE) of a relaxed structure of As2PdPb2.

Results
The calculation puts the raw total energy at -42.33 eV/cell. The value obtained for the formation energy from the elements is 0.148 eV per atom. As for the polymorph energy (0 for the lowest one): 226 meV per atom. The value obtained for the density of states at the Fermi level is 0.614 states/eV per atom. The value obtained for the density is 8.64 g/cm³.

```
data_As2PdPb2
_chemical_formula_sum 'As4 Pd2 Pb4'
_cell_length_a 5.893
_cell_length_b 5.893
_cell_length_c 7.426
_cell_angle_alpha 90.00
_cell_angle_beta 90.00
_cell_angle_gamma 90.00
_symmetry_space_group_name_H-M 'I 4/m m m'
_symmetry_Int_Tables_number 139
_symmetry_space_group_name_Hall '-I 4 2'
loop_
_atom_site_label
_atom_site_type_symbol
_atom_site_fract_x
_atom_site_fract_y
_atom_site_fract_z
_atom_site_occupancy
As1 As 0.000 0.000 0.165 1
Pd1 Pd 0.000 0.000 0.500 1
Pb1 Pb 0.000 0.500 0.250 1
```

***

# 4
The following is a DFT calculation (PBE) of a relaxed structure of As2Pd7Pb.

Results
The calculation puts the raw total energy at -101.25 eV/cell. The value obtained for the formation energy from the elements is -0.127 eV per atom. As for the polymorph energy (0 for the lowest one): 208 meV per atom. The value obtained for the density of states at the Fermi level is 0.450 states/eV per atom. The value obtained for the density is 9.10 g/cm³.

```
data_As2Pd7Pb
_chemical_formula_sum 'As4 Pd14 Pb2'
_cell_length_a 7.403
_cell_length_b 12.124
_cell_length_c 4.482
_cell_angle_alpha 90.00
_cell_angle_beta 90.00
_cell_angle_gamma 90.00
_symmetry_space_group_name_H-M 'C m m m'
_symmetry_Int_Tables_number 65
_symmetry_space_group_name_Hall '-C 2 2'
loop_
_atom_site_label
_atom_site_type_symbol
_atom_site_fract_x
_atom_site_fract_y
_atom_site_fract_z
_atom_site_occupancy
As1 As 0.000 0.196 0.000 1
Pd1 Pd 0.000 0.000 0.000 1
Pd2 Pd 0.000 0.270 0.500 1
Pd3 Pd 0.186 0.378 0.000 1
Pb1 Pb 0.000 0.500 0.500 1
```

***

# 5
The following is a DFT calculation (PBE) of a relaxed structure of As2PdPb.

Results
The calculation puts the raw total energy at -55.93 eV/cell. The value obtained for the formation energy from the elements is -0.111 eV per atom. The value obtained for the density of states at the Fermi level is 0.471 states/eV per atom. The value obtained for the density is 8.42 g/cm³.

```
data_As2PdPb
_chemical_formula_sum 'As6 Pd3 Pb3'
_cell_length_a 4.0377
_cell_length_b 4.0377
_cell_length_c 19.4121
_cell_angle_alpha 90.00
_cell_angle_beta 90.00
_cell_angle_gamma 120.00
_symmetry_space_group_name_H-M 'R 3 m'
_symmetry_Int_Tables_number 160
_symmetry_space_group_name_Hall 'R 3 -2"'
loop_
_atom_site_label
_atom_site_type_symbol
_atom_site_fract_x
_atom_site_fract_y
_atom_site_fract_z
_atom_site_occupancy
As1 As 0.0000 0.0000 0.0000 1
As2 As 0.0000 0.0000 0.2209 1
Pd1 Pd 0.0000 0.0000 0.6100 1
Pb1 Pb 0.0000 0.0000 0.7718 1
```

***

# 6
The following is a DFT calculation (PBE) of a relaxed structure of As2Pd3Pb.

Results
The calculation puts the raw total energy at -120.79 eV/cell. The value obtained for the formation energy from the elements is -0.269 eV per atom. As for the polymorph energy (0 for the lowest one): 42 meV per atom. The value obtained for the density of states at the Fermi level is 0.557 states/eV per atom. The value obtained for the density is 9.54 g/cm³.

```
data_As2Pd3Pb
_chemical_formula_sum 'As8 Pd12 Pb4'
_cell_length_a 16.363
_cell_length_b 4.132
_cell_length_c 7.669
_cell_angle_alpha 90.00
_cell_angle_beta 114.74
_cell_angle_gamma 90.00
_symmetry_space_group_name_H-M 'C 1 2/m 1'
_symmetry_Int_Tables_number 12
loop_
_symmetry_equiv_pos_as_xyz
'x,y,z'
'-x,-y,-z'
'-x,y,-z'
'x,-y,z'
'x+1/2,y+1/2,z'
'-x+1/2,-y+1/2,-z'
'-x+1/2,y+1/2,-z'
'x+1/2,-y+1/2,z'
loop_
_atom_site_label
_atom_site_type_symbol
_atom_site_fract_x
_atom_site_fract_y
_atom_site_fract_z
_atom_site_occupancy
As1 As 0.011 0.000 0.171 1
As2 As 0.183 0.500 0.647 1
Pd1 Pd 0.036 0.500 0.360 1
Pd2 Pd 0.105 0.000 0.694 1
Pd3 Pd 0.175 0.000 0.399 1
Pb1 Pb 0.170 0.500 0.081 1
```

***

# 7
The following is a DFT calculation (PBE) of a relaxed structure of As2PdPb2.

Results
The calculation puts the raw total energy at -44.59 eV/cell. The value obtained for the formation energy from the elements is -0.077 eV per atom. As for the polymorph energy (0 for the lowest one): 0 meV per atom. The value obtained for the density of states at the Fermi level is 0.497 states/eV per atom. The value obtained for the density is 9.41 g/cm³.

```
data_As2PdPb2
_chemical_formula_sum 'As4 Pd2 Pb4'
_cell_length_a 6.675
_cell_length_b 6.675
_cell_length_c 5.313
_cell_angle_alpha 90.00
_cell_angle_beta 90.00
_cell_angle_gamma 90.00
_symmetry_space_group_name_H-M 'P 4/m b m'
_symmetry_Int_Tables_number 127
_symmetry_space_group_name_Hall '-P 4 2ab'
loop_
_atom_site_label
_atom_site_type_symbol
_atom_site_fract_x
_atom_site_fract_y
_atom_site_fract_z
_atom_site_occupancy
As1 As 0.134 0.366 0.000 1
Pd1 Pd 0.000 0.000 0.000 1
Pb1 Pb 0.186 0.686 0.500 1
```

***

# 8
The following is a DFT calculation (PBE) of a relaxed structure of As3Pd4Pb.

Results
The calculation puts the raw total energy at -82.28 eV/cell. The value obtained for the formation energy from the elements is -0.339 eV per atom. The value obtained for the density of states at the Fermi level is 0.437 states/eV per atom. The value obtained for the density is 9.44 g/cm³.

```
data_As3Pd4Pb
_chemical_formula_sum 'As6 Pd8 Pb2'
_cell_length_a 3.865
_cell_length_b 12.284
_cell_length_c 6.353
_cell_angle_alpha 90.00
_cell_angle_beta 90.00
_cell_angle_gamma 90.00
_symmetry_space_group_name_H-M 'I m m 2'
_symmetry_Int_Tables_number 44
loop_
_symmetry_equiv_pos_as_xyz
'x,y,z'
'-x,-y,z'
'-x,y,z'
'x,-y,z'
'x+1/2,y+1/2,z+1/2'
'-x+1/2,-y+1/2,z+1/2'
'-x+1/2,y+1/2,z+1/2'
'x+1/2,-y+1/2,z+1/2'
loop_
_atom_site_label
_atom_site_type_symbol
_atom_site_fract_x
_atom_site_fract_y
_atom_site_fract_z
_atom_site_occupancy
As1 As 0.000 0.000 0.000 1
As2 As 0.000 0.209 0.361 1
Pd1 Pd 0.000 0.158 0.755 1
Pd2 Pd 0.000 0.376 0.617 1
Pb1 Pb 0.000 0.500 0.043 1
```

***

# 9
The following is a DFT calculation (PBE) of a relaxed structure of AsPd2Pb.

Results
The calculation puts the raw total energy at -19.58 eV/cell. The value obtained for the formation energy from the elements is -0.209 eV per atom. The value obtained for the density of states at the Fermi level is 0.374 states/eV per atom. The value obtained for the density is 10.85 g/cm³.

```
data_AsPd2Pb
_chemical_formula_sum 'As1 Pd2 Pb1'
_cell_length_a 3.261
_cell_length_b 3.261
_cell_length_c 7.123
_cell_angle_alpha 90.00
_cell_angle_beta 90.00
_cell_angle_gamma 90.00
_symmetry_space_group_name_H-M 'P 4/m m m'
_symmetry_Int_Tables_number 123
_symmetry_space_group_name_Hall '-P 4 2'
loop_
_atom_site_label
_atom_site_type_symbol
_atom_site_fract_x
_atom_site_fract_y
_atom_site_fract_z
_atom_site_occupancy
As1 As 0.000 0.000 0.000 1
Pd1 Pd 0.500 0.500 0.202 1
Pb1 Pb 0.000 0.000 0.500 1
```

***

# 10
The following is a DFT calculation (PBE) of a relaxed structure of As2Pd7Pb.

Results
The calculation puts the raw total energy at -105.42 eV/cell. The value obtained for the formation energy from the elements is -0.335 eV per atom. As for the polymorph energy (0 for the lowest one): 0 meV per atom. The value obtained for the density of states at the Fermi level is 0.556 states/eV per atom. The value obtained for the density is 10.58 g/cm³.

```
data_As2Pd7Pb
_chemical_formula_sum 'As4 Pd14 Pb2'
_cell_length_a 4.091
_cell_length_b 4.091
_cell_length_c 20.675
_cell_angle_alpha 90.00
_cell_angle_beta 90.00
_cell_angle_gamma 90.00
_symmetry_space_group_name_H-M 'I 4/m m m'
_symmetry_Int_Tables_number 139
_symmetry_space_group_name_Hall '-I 4 2'
loop_
_atom_site_label
_atom_site_type_symbol
_atom_site_fract_x
_atom_site_fract_y
_atom_site_fract_z
_atom_site_occupancy
As1 As 0.000 0.000 0.174 1
Pd1 Pd 0.000 0.000 0.000 1
Pd2 Pd 0.000 0.500 0.104 1
Pd3 Pd 0.000 0.500 0.250 1
Pb1 Pb 0.000 0.000 0.500 1
```

***

One value per record, in order, for magnetization: 0.00, 0.00, 0.00, 0.00, 0.00, 0.00, 0.00, 0.00, 0.00, 0.00 μB per cell.